Entry 1:
VASP calculation (GGA-PBE) on a relaxed structure of Ga2H4I3.

Values from the calculation:
Its symmetry is P-1, No. 2.

```
9
Lattice="5.543 0.000 0.000 1.110 5.497 0.000 0.922 1.806 7.821" Properties=species:S:1:pos:R:3 pbc="T T T"
Ga 1.543 1.385 1.788
Ga 6.031 5.917 6.032
H 0.764 0.596 0.718
H 2.567 1.116 2.913
H 5.008 6.187 4.908
H 6.810 6.707 7.103
I 2.068 3.955 5.206
I 3.327 2.749 0.000
I 5.507 3.347 2.615
```



Entry 2:
VASP calculation (GGA-PBE) on a relaxed structure of GaH2I4.

Values from the calculation:
Its symmetry is P-1, No. 2.

```
7
Lattice="4.083 0.000 0.000 0.623 7.257 0.000 0.128 0.013 8.151" Properties=species:S:1:pos:R:3 pbc="T T T"
Ga 0.000 0.000 0.000
H 1.248 3.777 6.278
H 3.586 3.493 1.873
I 0.274 2.111 2.399
I 2.192 1.451 6.593
I 2.641 5.819 1.558
I 4.560 5.159 5.752
```



Entry 3:
VASP calculation (GGA-PBE) on a relaxed structure of Ga2H2I3.

Values from the calculation:
Its symmetry is P-1, No. 2.

```
7
Lattice="4.159 0.000 0.000 -1.848 6.552 0.000 -0.339 -1.452 8.585" Properties=species:S:1:pos:R:3 pbc="T T T"
Ga 0.623 0.781 1.044
Ga 1.349 4.319 7.541
H -0.991 5.827 0.404
H 2.963 -0.727 8.181
I -0.884 4.397 5.674
I 1.156 3.276 0.000
I 2.856 0.703 2.911
```



Entry 4:
VASP calculation (GGA-PBE) on a relaxed structure of GaH3I.

Values from the calculation:
Its symmetry is Pm-3m, No. 221.

```
5
Lattice="4.204 0.000 0.000 0.000 4.204 0.000 0.000 0.000 4.204" Properties=species:S:1:pos:R:3 pbc="T T T"
Ga 0.000 0.000 0.000
H 0.000 2.102 2.102
H 2.102 0.000 2.102
H 2.102 2.102 0.000
I 2.102 2.102 2.102
```



Entry 5:
VASP calculation (GGA-PBE) on a relaxed structure of GaHI2.

Values from the calculation:
Its symmetry is P1, No. 1.

```
4
Lattice="4.146 0.000 0.000 2.065 5.434 0.000 0.007 1.568 6.757" Properties=species:S:1:pos:R:3 pbc="T T T"
Ga 0.000 0.000 0.000
H 2.073 5.458 6.644
I 2.074 0.729 1.632
I 4.153 3.132 4.786
```



Entry 6:
VASP calculation (GGA-PBE) on a relaxed structure of Ga2HI8.

Values from the calculation:
Its symmetry is C2/m, No. 12.

```
11
Lattice="6.516 -7.120 0.000 6.516 7.120 0.000 -1.968 0.000 6.644" Properties=species:S:1:pos:R:3 pbc="T T T"
Ga 1.286 0.000 1.131
Ga 9.779 0.000 5.514
H 0.000 0.000 0.000
I 3.406 4.935 4.277
I 1.389 0.000 6.100
I 7.659 4.935 2.367
I 5.220 0.000 1.942
I 5.844 0.000 4.703
I 3.406 -4.935 4.277
I 9.675 0.000 0.545
I 7.659 -4.935 2.367
```



Number 1: total DFT energy (no corrections) -24.3 eV per cell. Number 2: total DFT energy (no corrections) -16.6 eV per cell. Number 3: total DFT energy (no corrections) -18.2 eV per cell. Number 4: total DFT energy (no corrections) -10.0 eV per cell. Number 5: total DFT energy (no corrections) -10.6 eV per cell. Number 6: total DFT energy (no corrections) -24.2 eV per cell.